{
  "formula": "BeAsS2",
  "functional": "GGA-PBE",
  "state": "relaxed",
  "energy_ev_per_atom": -4.3316,
  "formation_energy_uncorrected_kj_per_mol_fu": -67,
  "lattice_angstrom": [[-2.9139, 2.9139, 4.3490], [2.9139, -2.9139, 4.3490], [2.9139, 2.9139, -4.3490]],
  "species": ["Be", "Be", "As", "As", "S", "S", "S", "S"],
  "fractional_positions": [[0.0000, 0.0000, 0.0000], [0.7500, 0.2500, 0.5000], [0.2500, 0.7500, 0.5000], [0.5000, 0.5000, 0.0000], [0.0530, 0.6250, 0.9280], [0.3750, 0.3030, 0.4280], [0.6970, 0.1250, 0.0720], [0.8750, 0.9470, 0.5720]]
}



{
  "formula": "LaMn2Au",
  "functional": "GGA-PBE",
  "state": "relaxed",
  "energy_ev_per_atom": -6.6528,
  "e_form_mev_per_atom": -17,
  "lattice_angstrom": [[3.2520, 0.0000, 0.0000], [0.0000, 3.2793, 0.0000], [0.0000, 0.0000, 7.3896]],
  "species": ["La", "Mn", "Mn", "Au"],
  "fractional_positions": [[0.0000, 0.0000, 0.0000], [0.0000, 0.0000, 0.4726], [0.5000, 0.5000, 0.3143], [0.5000, 0.5000, 0.6873]]
}



{
  "formula": "Na2YTlF8",
  "functional": "GGA-PBE",
  "state": "relaxed",
  "energy_ev_per_atom": -5.1297,
  "formation_energy_uncorrected_kj_per_mol_fu": -3388,
  "lattice_angstrom": [[3.8244, 0.0000, 0.0000], [0.0000, 5.5754, 0.0000], [0.0000, 0.0000, 7.6864]],
  "species": ["Na", "Na", "Y", "Tl", "F", "F", "F", "F", "F", "F", "F", "F"],
  "fractional_positions": [[0.0000, 0.0000, 0.2482], [0.0000, 0.0000, 0.7518], [0.5000, 0.5000, 0.5000], [0.5000, 0.5000, 0.0000], [0.0000, 0.2654, 0.0000], [0.0000, 0.2693, 0.5000], [0.0000, 0.7307, 0.5000], [0.0000, 0.7346, 0.0000], [0.5000, 0.2685, 0.2508], [0.5000, 0.2685, 0.7492], [0.5000, 0.7315, 0.2508], [0.5000, 0.7315, 0.7492]]
}



{
  "formula": "AcGd2Bi",
  "functional": "GGA-PBE",
  "state": "relaxed",
  "energy_ev_per_atom": -9.4022,
  "e_form_mev_per_atom": -364,
  "lattice_angstrom": [[5.0839, 0.0000, 0.0000], [0.0000, 5.0839, 0.0000], [0.0000, 0.0000, 5.0478]],
  "species": ["Ac", "Gd", "Gd", "Bi"],
  "fractional_positions": [[0.0000, 0.0000, 0.0000], [0.0000, 0.5000, 0.5000], [0.5000, 0.0000, 0.5000], [0.5000, 0.5000, 0.0000]]
}



{
  "formula": "ZrRe2Si",
  "functional": "GGA-PBE",
  "state": "relaxed",
  "energy_ev_per_atom": -9.6942,
  "formation_energy_uncorrected_kj_per_mol_fu": 9,
  "lattice_angstrom": [[-1.8830, 1.8830, 4.5735], [1.8830, -1.8830, 4.5735], [1.8830, 1.8830, -4.5735]],
  "species": ["Zr", "Re", "Re", "Si"],
  "fractional_positions": [[0.0000, 0.0000, 0.0000], [0.2500, 0.7500, 0.5000], [0.7500, 0.2500, 0.5000], [0.5000, 0.5000, 0.0000]]
}



{
  "formula": "ZrReGe3",
  "functional": "GGA-PBE",
  "state": "relaxed",
  "energy_ev_per_atom": -6.3069,
  "e_form_mev_per_atom": 663,
  "lattice_angstrom": [[4.8025, 0.0000, 0.0000], [0.0000, 4.8025, 0.0000], [0.0000, 0.0000, 4.8025]],
  "species": ["Zr", "Re", "Ge", "Ge", "Ge"],
  "fractional_positions": [[0.0000, 0.0000, 0.0000], [0.5000, 0.5000, 0.5000], [0.0000, 0.5000, 0.5000], [0.5000, 0.0000, 0.5000], [0.5000, 0.5000, 0.0000]]
}